Density functional theory data (PBE) for an optimized crystal structure of BaVB2H.

Summary:
E, eV per atom: -3.83
N(E_F), states/eV/f.u.: 6.0
Spin magnetization, μB/atom: 0.000

a = 4.026 Å, b = 4.026 Å, c = 4.296 Å
α = 90.00°, β = 90.00°, γ = 90.00°
Space group P4/mmm (No. 123)
One atom of each set of equivalent atoms:
Ba  0.000  0.000  0.000 x1
V  0.500  0.500  0.000 x1
B  0.000  0.500  0.500 x2
H  0.000  0.000  0.500 x1

Density functional theory data (PBE) for an optimized crystal structure of Ba2HfB2.

Summary:
E, eV per atom: -3.73
DFT formation energy, eV/atom: 1.702
N(E_F), states/eV/f.u.: 6.2
Spin magnetization, μB/atom: 0.234
Offset from the most stable computed form, eV per atom: 0.231

a = 5.098 Å, b = 5.098 Å, c = 10.752 Å
α = 90.00°, β = 90.00°, γ = 90.00°
Space group I4/mmm (No. 139)
One atom of each set of equivalent atoms:
Ba  0.000  0.000  0.145 x4
Hf  0.000  0.000  0.500 x2
B  0.000  0.500  0.250 x4

Density functional theory data (PBE) for an optimized crystal structure of Ba2Hf2B.

Summary:
E, eV per atom: -4.21
DFT formation energy, eV/atom: 1.872
N(E_F), states/eV/f.u.: 8.0
Spin magnetization, μB/atom: 0.000
Offset from the most stable computed form, eV per atom: 1.203

a = 4.164 Å, b = 4.164 Å, c = 16.965 Å
α = 90.00°, β = 90.00°, γ = 90.00°
Space group I4/mmm (No. 139)
One atom of each set of equivalent atoms:
Ba  0.000  0.500  0.250 x4
Hf  0.000  0.000  0.072 x4
B  0.000  0.000  0.500 x2

Density functional theory data (PBE) for an optimized crystal structure of Ba2Hf2B.

Summary:
E, eV per atom: -5.42
DFT formation energy, eV/atom: 0.668
N(E_F), states/eV/f.u.: 6.4
Spin magnetization, μB/atom: 0.000
Offset from the most stable computed form, eV per atom: 0.000

a = 6.657 Å, b = 6.657 Å, c = 6.101 Å
α = 90.00°, β = 90.00°, γ = 90.00°
Space group P4/mbm (No. 127)
One atom of each set of equivalent atoms:
Ba  0.179  0.321  0.000 x4
Hf  0.168  0.668  0.500 x4
B  0.000  0.000  0.500 x2

Density functional theory data (PBE) for an optimized crystal structure of Ba2HfB2.

Summary:
E, eV per atom: -3.96
DFT formation energy, eV/atom: 1.470
N(E_F), states/eV/f.u.: 4.4
Spin magnetization, μB/atom: 0.138
Offset from the most stable computed form, eV per atom: 0.000

a = 8.629 Å, b = 8.629 Å, c = 3.242 Å
α = 90.00°, β = 90.00°, γ = 90.00°
Space group P4/mbm (No. 127)
One atom of each set of equivalent atoms:
Ba  0.133  0.367  0.000 x4
Hf  0.000  0.000  0.000 x2
B  0.165  0.665  0.500 x4

Density functional theory data (PBE) for an optimized crystal structure of BaHfBP2.

Summary:
E, eV per atom: -4.92
DFT formation energy, eV/atom: 0.950
N(E_F), states/eV/f.u.: 3.9
Spin magnetization, μB/atom: 0.332

a = 4.915 Å, b = 4.915 Å, c = 6.636 Å
α = 90.00°, β = 90.00°, γ = 90.00°
Space group P4/mmm (No. 123)
One atom of each set of equivalent atoms:
Ba  0.000  0.000  0.000 x1
Hf  0.000  0.000  0.500 x1
B  0.500  0.500  0.000 x1
P  0.000  0.500  0.500 x2

Density functional theory data (PBE) for an optimized crystal structure of Ba2HfBRh.

Summary:
E, eV per atom: -4.81
DFT formation energy, eV/atom: 0.756
N(E_F), states/eV/f.u.: 6.9
Spin magnetization, μB/atom: 0.243

a = 6.188 Å, b = 6.188 Å, c = 4.000 Å
α = 90.00°, β = 90.00°, γ = 90.00°
Space group P4/mmm (No. 123)
One atom of each set of equivalent atoms:
Ba  0.000  0.500  0.000 x2
Hf  0.000  0.000  0.500 x1
B  0.500  0.500  0.500 x1
Rh  0.500  0.500  0.000 x1

Density functional theory data (PBE) for an optimized crystal structure of BaHfB2Sb.

Summary:
E, eV per atom: -4.50
N(E_F), states/eV/f.u.: 5.0
Spin magnetization, μB/atom: 0.024
Uncorrected formation energy, eV/atom: 1.37

a = 4.709 Å, b = 4.709 Å, c = 6.108 Å
α = 90.00°, β = 90.00°, γ = 90.00°
Space group P4/mmm (No. 123)
One atom of each set of equivalent atoms:
Ba  0.000  0.000  0.000 x1
Hf  0.000  0.000  0.500 x1
B  0.000  0.500  0.500 x2
Sb  0.500  0.500  0.000 x1